(1)
Compound: AcFeH2
Source: Alexandria via LeMat-Bulk
Functional: PBE-GGA
Structure: relaxed

Values from the calculation:
Density ... 8245 kg/m3
Magnetization ... 2.6 Bohr magnetons per cell
VASP energy ... -18.50 eV per cell

```
AcFeH2
1.0
3.938 0.000 0.000
1.969 3.410 0.000
1.969 1.137 4.273
H Ac Fe
2 1 1
Direct
0.216 0.216 0.352
0.784 0.784 0.648
0.000 0.000 0.000
0.500 0.500 0.500
```

(2)
Compound: AcFeH5
Source: Alexandria via LeMat-Bulk
Functional: PBE-GGA
Structure: relaxed

Values from the calculation:
Density ... 7124 kg/m3
Magnetization ... 0.7 Bohr magnetons per cell
VASP energy ... -63.06 eV per cell

```
AcFeH5
1.0
0.656 4.612 0.747
1.078 1.028 4.476
7.155 1.834 0.953
Ac Fe H
2 2 10
Direct
0.500 0.500 0.750
0.500 0.500 0.250
0.000 0.000 0.000
0.000 0.000 0.500
0.380 0.936 0.921
0.380 0.936 0.421
0.936 0.380 0.421
0.000 0.000 0.750
0.064 0.620 0.079
0.936 0.380 0.921
0.000 0.000 0.250
0.064 0.620 0.579
0.620 0.064 0.579
0.620 0.064 0.079
```